[1]
# KCaN

An optimized crystal structure of KCaN (GGA-PBE, Alexandria via LeMat-Bulk).

extended XYZ file:
```
6
Lattice="3.3558 -1.9270 0.0000 3.3558 1.9270 0.0000 -0.4160 0.0000 13.7085" Properties=species:S:1:pos:R:3 pbc="T T T"
K 1.0017 0.0000 2.4125
K 5.2940 0.0000 11.2960
Ca 0.8239 0.0000 8.7324
Ca 5.4718 0.0000 4.9761
N 3.0546 0.0000 9.4982
N 3.2411 0.0000 4.2103
```

Computed properties:
- Energy relative to the elements, uncorrected: -0.13 eV/atom
- Total magnetic moment: 0.2 μB/f.u.

---

[2]
# Th4SiAs2S

An optimized crystal structure of Th4SiAs2S (GGA-PBE, Alexandria via LeMat-Bulk).

extended XYZ file:
```
8
Lattice="7.2555 0.0000 0.0000 0.0000 4.2092 0.0000 -2.4437 0.0000 6.9091" Properties=species:S:1:pos:R:3 pbc="T T T"
Th 1.2016 0.0000 1.6610
Th -0.0226 2.1046 5.2392
Th 4.8344 2.1046 1.6699
Th 3.6103 0.0000 5.2482
Si 3.6278 0.0000 0.0000
As -1.2218 0.0000 3.4546
As 2.4059 2.1046 3.4546
S 0.0000 2.1046 0.0000
```

Computed properties:
- Energy relative to the elements, uncorrected: -1.34 eV/atom
- Total magnetic moment: 0.0 μB/f.u.

---

[3]
# ZnH2Ir2

An optimized crystal structure of ZnH2Ir2 (GGA-PBE, Alexandria via LeMat-Bulk).

extended XYZ file:
```
5
Lattice="-1.5035 1.5035 5.4678 1.5035 -1.5035 5.4678 1.5035 1.5035 -5.4678" Properties=species:S:1:pos:R:3 pbc="T T T"
Zn 0.0000 0.0000 0.0000
H 1.5035 0.0000 2.7339
H 0.0000 1.5035 2.7339
Ir 0.0000 0.0000 3.9056
Ir 0.0000 0.0000 7.0300
```

Computed properties:
- Uncorrected energy: -24.94 eV/f.u.
- Total magnetic moment: 0.0 μB/f.u.

---

> The highest total magnetic moment belongs to which entry?

KCaN

---

> Look up the total magnetic moment of the second one.

0.0 μB/f.u.

---

> The highest total magnetic moment belongs to which entry?

KCaN